Computed, not measured: a relaxed NdZn3As3 crystal at the GGA-PBE level of DFT.

The space group is Ama2 (No. 40) and the conventional cell measures 20.496, 7.298 and 4.196 Å, with angles of 90.00, 90.00 and 90.00 degrees. The distinct sites, in fractional coordinates, are Nd at (0.000, 0.000, 0.000), Zn at (0.130, 0.168, 0.493), Zn at (0.250, 0.306, 0.111), As at (0.088, 0.334, 0.997) and As at (0.250, 0.136, 0.618).

The final energy comes out at -26.34 eV per formula unit. The crystal system is orthorhombic. As for the volume: 22.4 Å³/atom. The value obtained for the energy of formation from the pure elements is -543 meV per atom.

Computed, not measured: a relaxed NdZrAs2 crystal at the GGA-PBE level of DFT.

The space group is R-3m (No. 166, hexagonal axes) and the conventional cell measures 4.0370, 4.0370 and 20.1059 Å, with angles of 90.00, 90.00 and 120.00 degrees. The distinct sites, in fractional coordinates, are Nd at (0.0000, 0.0000, 0.0000), Zr at (0.0000, 0.0000, 0.5000) and As at (0.0000, 0.0000, 0.2421).

The final energy comes out at -27.83 eV per formula unit. The crystal system is trigonal. As for the volume: 23.6 Å³/atom. The value obtained for the energy of formation from the pure elements is -1304 meV per atom.

Computed, not measured: a relaxed NdZrAs2 crystal at the GGA-PBE level of DFT.

The space group is R3m (No. 160, hexagonal axes) and the conventional cell measures 3.9716, 3.9716 and 21.0473 Å, with angles of 90.00, 90.00 and 120.00 degrees. The distinct sites, in fractional coordinates, are Nd at (0.0000, 0.0000, 0.0000), Zr at (0.0000, 0.0000, 0.8262), As at (0.0000, 0.0000, 0.2372) and As at (0.0000, 0.0000, 0.4219).

The final energy comes out at -27.47 eV per formula unit. The crystal system is trigonal. As for the volume: 24.0 Å³/atom. The value obtained for the energy of formation from the pure elements is -1214 meV per atom.

Computed, not measured: a relaxed Nd2ZrAs3 crystal at the GGA-PBE level of DFT.

The space group is I4/mmm (No. 139) and the conventional cell measures 4.148, 4.148 and 17.447 Å, with angles of 90.00, 90.00 and 90.00 degrees. The distinct sites, in fractional coordinates, are Nd at (0.000, 0.000, 0.166), Zr at (0.000, 0.000, 0.500), As at (0.000, 0.000, 0.000) and As at (0.000, 0.000, 0.341).

The final energy comes out at -39.90 eV per formula unit. The crystal system is tetragonal. As for the volume: 25.0 Å³/atom. The value obtained for the energy of formation from the pure elements is -1310 meV per atom.

Let's list N(E_F) in order: 0.271; 1.784; 2.909; 1.940 states/eV/f.u..